[1]
La2FeMo | PBE | relaxed

DFT total energy = -51.817 eV per cell

Cell: 7.831 7.831 6.335 Å, 51.83 51.83 90.00°
Last column: magnetic moment on the atom in μB.
Fractional coordinates of all 8 atoms:
Mo1 0.000 0.000 0.000  1.44
Mo2 0.750 0.250 0.500  1.44
Fe1 0.500 0.500 0.000  2.25
Fe2 0.250 0.750 0.500  2.25
La1 0.614 0.125 0.250  -0.10
La2 0.136 0.625 0.250  -0.11
La3 0.375 0.386 0.750  -0.11
La4 0.875 0.864 0.750  -0.11

***

[2]
Rb2CaTc | PBE | relaxed

DFT total energy = -19.303 eV per cell

Cell: 12.999 12.999 9.607 Å, 47.42 47.42 90.00°
Last column: magnetic moment on the atom in μB.
Fractional coordinates of all 8 atoms:
Ca1 0.500 0.500 0.000  -0.04
Ca2 0.250 0.750 0.500  -0.04
Tc1 0.000 0.000 0.000  2.38
Tc2 0.750 0.250 0.500  2.38
Rb1 0.766 0.125 0.250  0.01
Rb2 0.984 0.625 0.250  0.01
Rb3 0.375 0.234 0.750  0.01
Rb4 0.875 0.016 0.750  0.01

***

[3]
LiZnReRu | PBE | relaxed

DFT total energy = -24.858 eV per cell

Cell: 4.239 4.239 4.239 Å, 60.00 60.00 60.00°
Fractional coordinates of all 4 atoms:
Re1 0.500 0.500 0.500
Zn1 0.000 0.000 0.000
Li1 0.750 0.750 0.750
Ru1 0.250 0.250 0.250

***

[4]
Tl3SnP2O8 | PBE | relaxed

formation energy from raw total energies = -1.605 eV/atom

Cell: 5.670 5.670 8.453 Å, 90.00 90.00 120.00°
Fractional coordinates of all 14 atoms:
Tl1 0.333 0.667 0.780
Tl2 0.667 0.333 0.220
Tl3 0.000 0.000 0.000
Sn1 0.000 0.000 0.500
P1 0.333 0.667 0.278
P2 0.667 0.333 0.722
O1 0.333 0.667 0.096
O2 0.667 0.333 0.904
O3 0.182 0.818 0.337
O4 0.818 0.182 0.663
O5 0.182 0.364 0.337
O6 0.818 0.636 0.663
O7 0.636 0.818 0.337
O8 0.364 0.182 0.663

***

[5]
Tl3CdRe2O9 | PBE | relaxed

formation energy from raw total energies = -1.198 eV/atom

Cell: 5.824 5.824 7.301 Å, 90.00 90.00 120.00°
Fractional coordinates of all 15 atoms:
Tl1 0.333 0.667 0.663
Tl2 0.000 0.000 0.000
Tl3 0.667 0.333 0.337
Cd1 0.000 0.000 0.500
Re1 0.333 0.667 0.160
Re2 0.667 0.333 0.840
O1 0.820 0.180 0.701
O2 0.820 0.639 0.701
O3 0.361 0.180 0.701
O4 0.639 0.820 0.299
O5 0.180 0.361 0.299
O6 0.180 0.820 0.299
O7 0.500 0.000 0.000
O8 0.000 0.500 0.000
O9 0.500 0.500 0.000

***

[6]
Sc2WBr | PBE | relaxed

formation energy from raw total energies = 0.511 eV/atom

Cell: 3.305 5.451 4.490 Å, 90.00 90.00 90.00°
Fractional coordinates of all 4 atoms:
Br1 0.000 0.500 0.500
Sc1 0.000 0.000 0.000
Sc2 0.500 0.500 0.000
W1 0.500 0.000 0.500

***

[7]
HRuOF2 | PBE | relaxed

DFT total energy = -24.383 eV per cell

Cell: 4.098 4.098 3.667 Å, 90.00 90.00 90.00°
Last column: magnetic moment on the atom in μB.
Fractional coordinates of all 5 atoms:
Ru1 0.000 0.000 0.000  -0.02
H1 0.500 0.500 0.500  0.38
O1 0.000 0.000 0.500  0.01
F1 0.000 0.500 0.000  0.01
F2 0.500 0.000 0.000  0.01

***

[8]
Ba2TlOsO8 | PBE | relaxed

formation energy from raw total energies = -1.403 eV/atom

Cell: 4.660 5.565 8.159 Å, 88.24 89.38 94.97°
Last column: magnetic moment on the atom in μB.
Fractional coordinates of all 12 atoms:
Ba1 0.481 0.515 0.759  0.01
Ba2 0.519 0.485 0.241  0.01
Tl1 0.000 0.000 0.500  0.00
Os1 0.000 0.000 0.000  0.47
O1 0.055 0.729 0.132  0.10
O2 0.584 0.898 0.991  -0.01
O3 0.941 0.173 0.191  0.12
O4 0.945 0.271 0.868  0.10
O5 0.416 0.102 0.009  -0.01
O6 0.059 0.827 0.809  0.12
O7 0.680 0.741 0.490  0.00
O8 0.320 0.259 0.510  0.00

***

[9]
Zr7FeI12 | PBE | relaxed

formation energy from raw total energies = -0.746 eV/atom

Cell: 9.464 9.464 9.464 Å, 109.78 109.78 109.78°
Last column: magnetic moment on the atom in μB.
Fractional coordinates of all 20 atoms:
Zr1 0.940 0.697 0.879  0.01
Zr2 0.303 0.121 0.060  0.01
Zr3 0.121 0.060 0.303  0.01
Zr4 0.500 0.500 0.500  0.14
Zr5 0.879 0.940 0.697  0.01
Zr6 0.697 0.879 0.940  0.01
Zr7 0.060 0.303 0.121  0.01
Fe1 0.000 0.000 0.000  0.01
I1 0.926 0.300 0.784  0.00
I2 0.700 0.216 0.074  0.00
I3 0.481 0.155 0.399  0.00
I4 0.845 0.601 0.519  0.00
I5 0.216 0.074 0.700  0.00
I6 0.601 0.519 0.845  0.00
I7 0.399 0.481 0.155  0.00
I8 0.784 0.926 0.300  0.00
I9 0.155 0.399 0.481  0.00
I10 0.519 0.845 0.601  0.00
I11 0.300 0.784 0.926  0.00
I12 0.074 0.700 0.216  0.00

***

[10]
TeWAu2 | PBE | relaxed

formation energy from raw total energies = 0.609 eV/atom

Cell: 2.876 4.046 6.889 Å, 90.00 90.00 90.00°
Fractional coordinates of all 4 atoms:
Au1 0.000 0.000 0.961
Au2 0.000 0.000 0.539
Te1 0.500 0.500 0.250
W1 0.500 0.500 0.750

***

[11]
NbTc2AgC | PBE | relaxed

DFT total energy = -32.983 eV per cell

Cell: 4.841 4.157 4.841 Å, 90.00 90.00 90.00°
Last column: magnetic moment on the atom in μB.
Fractional coordinates of all 5 atoms:
C1 0.000 0.500 0.000  -0.07
Nb1 0.000 0.000 0.000  -0.20
Tc1 0.000 0.000 0.500  1.34
Tc2 0.500 0.000 0.000  1.50
Ag1 0.500 0.500 0.500  0.04

***

[12]
Hf2SeCl2 | PBE | relaxed

formation energy from raw total energies = -0.478 eV/atom

Cell: 4.182 4.182 6.751 Å, 71.96 71.96 90.00°
Fractional coordinates of all 5 atoms:
Hf1 0.386 0.386 0.228
Hf2 0.614 0.614 0.772
Se1 0.000 0.000 0.000
Cl1 0.750 0.250 0.500
Cl2 0.250 0.750 0.500

***

[13]
CsTmIn2Br6 | PBE | relaxed

formation energy from raw total energies = -1.380 eV/atom

Cell: 8.244 8.242 8.631 Å, 61.39 61.37 59.83°
Fractional coordinates of all 10 atoms:
Cs1 0.810 0.811 0.568
Tm1 0.326 0.326 0.023
In1 0.522 0.522 0.434
In2 0.008 0.008 0.976
Br1 0.546 0.244 0.229
Br2 0.243 0.981 0.230
Br3 0.980 0.547 0.229
Br4 0.378 0.688 0.775
Br5 0.689 0.158 0.776
Br6 0.159 0.378 0.775

***

[14]
RbOsW3 | PBE | relaxed

DFT total energy = -30.325 eV per cell

Cell: 4.577 4.577 4.577 Å, 90.00 90.00 90.00°
Fractional coordinates of all 5 atoms:
Os1 0.500 0.500 0.500
Rb1 0.000 0.000 0.000
W1 0.000 0.500 0.000
W2 0.000 0.000 0.500
W3 0.500 0.000 0.000

***

[15]
Mg2ScInHg | PBE | relaxed

DFT total energy = -11.704 eV per cell

Cell: 5.125 5.432 5.125 Å, 90.00 90.00 90.00°
Fractional coordinates of all 5 atoms:
Sc1 0.000 0.500 0.000
Mg1 0.000 0.000 0.500
Mg2 0.500 0.000 0.000
Hg1 0.000 0.000 0.000
In1 0.500 0.500 0.500

***

[16]
HoScGe2 | PBE | relaxed

DFT total energy = -22.557 eV per cell

Cell: 3.732 3.732 7.820 Å, 76.20 76.20 60.00°
Fractional coordinates of all 4 atoms:
Sc1 0.000 0.000 0.000
Ge1 0.746 0.746 0.762
Ge2 0.254 0.254 0.238
Ho1 0.500 0.500 0.500

***

[17]
Zn2PbN | PBE | relaxed

formation energy from raw total energies = 1.179 eV/atom

Cell: 4.640 4.640 4.640 Å, 60.00 60.00 60.00°
Last column: magnetic moment on the atom in μB.
Fractional coordinates of all 4 atoms:
Pb1 0.500 0.500 0.500  0.02
Zn1 0.250 0.250 0.250  0.01
Zn2 0.750 0.750 0.750  0.01
N1 0.000 0.000 0.000  0.12

***

[18]
AcThNiRu | PBE | relaxed

DFT total energy = -27.171 eV per cell

Cell: 5.091 5.091 5.091 Å, 60.00 60.00 60.00°
Fractional coordinates of all 4 atoms:
Ru1 0.750 0.750 0.750
Ac1 0.500 0.500 0.500
Th1 0.000 0.000 0.000
Ni1 0.250 0.250 0.250

***

[19]
LaPmHoCd | PBE | relaxed

DFT total energy = -15.384 eV per cell

Cell: 5.587 5.587 5.587 Å, 60.00 60.00 60.00°
Fractional coordinates of all 4 atoms:
Cd1 0.750 0.750 0.750
La1 0.000 0.000 0.000
Ho1 0.250 0.250 0.250
Pm1 0.500 0.500 0.500

***

[20]
Ba3Na7Ca2 | PBE | relaxed

DFT total energy = -18.568 eV per cell

Cell: 7.315 7.315 12.471 Å, 72.95 72.95 60.00°
Fractional coordinates of all 12 atoms:
Ba1 0.000 0.000 0.000
Ba2 0.142 0.142 0.575
Ba3 0.858 0.858 0.425
Na1 0.500 0.500 0.500
Na2 0.081 0.589 0.742
Na3 0.589 0.589 0.742
Na4 0.589 0.081 0.742
Na5 0.919 0.411 0.258
Na6 0.411 0.919 0.258
Na7 0.411 0.411 0.258
Ca1 0.334 0.334 0.998
Ca2 0.666 0.666 0.002

***

[21]
Ac4LaPa3N8 | PBE | relaxed

formation energy from raw total energies = -1.389 eV/atom

Cell: 7.344 7.513 7.344 Å, 119.26 120.00 90.00°
Fractional coordinates of all 16 atoms:
Ac1 0.500 0.000 0.000
Ac2 0.500 0.000 0.500
Ac3 0.000 0.000 0.000
Ac4 0.000 0.000 0.500
La1 0.000 0.500 0.000
Pa1 0.500 0.500 0.000
Pa2 0.500 0.500 0.500
Pa3 0.000 0.500 0.500
N1 0.245 0.694 0.949
N2 0.245 0.694 0.490
N3 0.270 0.310 0.540
N4 0.704 0.694 0.949
N5 0.296 0.306 0.051
N6 0.730 0.690 0.460
N7 0.755 0.306 0.510
N8 0.755 0.306 0.051

***

[22]
Li2Pm2ScTl2 | PBE | relaxed

DFT total energy = -25.589 eV per cell

Cell: 4.771 4.771 9.404 Å, 75.30 75.30 60.00°
Fractional coordinates of all 7 atoms:
Li1 0.617 0.617 0.148
Li2 0.383 0.383 0.852
Pm1 0.124 0.124 0.627
Pm2 0.876 0.876 0.373
Sc1 0.000 0.000 0.000
Tl1 0.731 0.731 0.807
Tl2 0.269 0.269 0.193

***

[23]
Be2GaTe4 | PBE | relaxed

formation energy from raw total energies = -0.231 eV/atom

Cell: 5.638 5.638 5.933 Å, 90.00 90.00 90.00°
Fractional coordinates of all 7 atoms:
Be1 0.500 0.000 0.500
Be2 0.000 0.500 0.500
Ga1 0.000 0.000 0.000
Te1 0.729 0.271 0.740
Te2 0.271 0.271 0.260
Te3 0.271 0.729 0.740
Te4 0.729 0.729 0.260

***

[24]
KLa3Nd2Te6 | PBE | relaxed

formation energy from raw total energies = -1.487 eV/atom

Cell: 4.576 9.240 10.265 Å, 102.49 102.88 90.00°
Fractional coordinates of all 12 atoms:
K1 0.500 0.000 0.000
La1 0.500 0.500 0.000
La2 0.837 0.172 0.674
La3 0.163 0.828 0.326
Nd1 0.829 0.655 0.658
Nd2 0.171 0.345 0.342
Te1 0.329 0.910 0.658
Te2 0.666 0.583 0.332
Te3 0.671 0.090 0.342
Te4 0.004 0.260 0.009
Te5 0.996 0.740 0.991
Te6 0.334 0.417 0.668

***

[25]
KTa3F | PBE | relaxed

formation energy from raw total energies = 3.098 eV/atom

Cell: 4.701 4.701 4.701 Å, 90.00 90.00 90.00°
Fractional coordinates of all 5 atoms:
K1 0.000 0.000 0.000
F1 0.500 0.500 0.500
Ta1 0.000 0.500 0.000
Ta2 0.000 0.000 0.500
Ta3 0.500 0.000 0.000